ScNiOF2: optimized geometry, PBE with a Hubbard U.

Results
As for the total magnetic moment: 1.01 μB/cell. For the distance to the lowest polymorph of the same formula, the calculation gives 487 meV per atom. For the density of states at the Fermi level, the calculation gives 2.7 states/eV/cell. As for the calculated total energy: -5.373 eV/atom.

abc: 3.870 3.870 4.005
angles: 90.00 90.00 90.00
Space group P4/mmm (No. 123)
One atom of each set of equivalent atoms:
Sc  0.000  0.000  0.000 [1 per cell]
Ni  0.500  0.500  0.500 [1 per cell]
O  0.500  0.500  0.000 [1 per cell]
F  0.000  0.500  0.500 [2 per cell]